Entry 1:
A geometry-optimized Ba6Hg2RhN structure. Source: Alexandria via LeMat-Bulk, functional PBE-GGA.

The structure in POSCAR format:
```
Ba6Hg2RhN
1.0
7.929 0.000 0.000
0.000 8.409 0.000
-7.749 0.000 11.516
Ba Hg Rh N
12 4 2 2
direct
0.146 0.013 0.237
0.146 0.487 0.737
0.224 0.708 0.044
0.224 0.792 0.544
0.336 0.184 0.043
0.336 0.316 0.543
0.664 0.684 0.457
0.664 0.816 0.957
0.776 0.208 0.456
0.776 0.292 0.956
0.854 0.513 0.263
0.854 0.987 0.763
0.285 0.082 0.751
0.285 0.418 0.251
0.715 0.582 0.749
0.715 0.918 0.249
0.500 0.000 0.500
0.500 0.500 0.000
0.000 0.000 0.000
0.000 0.500 0.500
```

Results
- Total moment: 0.000 μB/f.u.
- Fermi-level density of states: 17.5 states/eV/cell
- Space group: P2_1/c
- ΔE_f (raw): -3.14 eV per formula unit
- E: -3.10 eV/atom



Entry 2:
A geometry-optimized NbGaSN2 structure. Source: Alexandria via LeMat-Bulk, functional PBE-GGA.

The structure in POSCAR format:
```
NbGaSN2
1.0
4.008 0.000 0.000
0.000 4.008 0.000
0.000 0.000 5.244
Nb Ga S N
1 1 1 2
direct
0.000 0.000 0.000
0.500 0.500 0.500
0.000 0.000 0.500
0.000 0.500 0.000
0.500 0.000 0.000
```

Results
- E above lowest polymorph: 0.00 eV per formula unit
- Total moment: 0.689 μB/f.u.
- Fermi-level density of states: 3.1 states/eV/cell
- Space group: P4/mmm
- ΔE_f (raw): 0.98 eV per formula unit
- E: -6.58 eV/atom



Entry 3:
A geometry-optimized BaAlCd2 structure. Source: Alexandria via LeMat-Bulk, functional PBE-GGA.

The structure in POSCAR format:
```
BaAlCd2
1.0
9.292 0.000 0.000
0.000 7.514 0.000
0.000 0.000 6.505
Ba Al Cd
4 4 8
direct
0.043 0.250 0.129
0.457 0.750 0.629
0.543 0.250 0.371
0.957 0.750 0.871
0.109 0.750 0.365
0.391 0.250 0.865
0.609 0.750 0.135
0.891 0.250 0.635
0.179 0.055 0.611
0.179 0.445 0.611
0.321 0.555 0.111
0.321 0.945 0.111
0.679 0.055 0.889
0.679 0.445 0.889
0.821 0.555 0.389
0.821 0.945 0.389
```

Results
- Calculated formation energy: -0.19 eV per atom
- Total moment: 0.000 μB/f.u.
- Fermi-level density of states: 9.6 states/eV/cell
- Space group: Pnma
- E: -2.07 eV/atom



Entry 4:
A geometry-optimized TcTe2As structure. Source: Alexandria via LeMat-Bulk, functional PBE-GGA.

The structure in POSCAR format:
```
TcTe2As
1.0
1.520 0.878 12.053
-1.520 0.878 12.053
0.000 -1.755 12.053
Tc Te As
1 2 1
direct
0.000 0.000 0.000
0.073 0.073 0.073
0.927 0.927 0.927
0.500 0.500 0.500
```

Results
- Total moment: 0.002 μB/f.u.
- Fermi-level density of states: 5.3 states/eV/cell
- Space group: R-3m
- ΔE_f (raw): 3.17 eV per formula unit
- E: -4.53 eV/atom